# 1
## HoTi2Mo (PBE-GGA)

Data for a geometry-optimized HoTi2Mo structure.

Geometry as POSCAR:
```
HoTi2Mo
1.0
3.292 0.000 0.000
0.000 3.292 0.000
0.000 0.000 7.262
Ho Ti Mo
1 2 1
Direct
0.000 0.000 0.000 Ho
0.500 0.500 0.307 Ti
0.500 0.500 0.693 Ti
0.000 0.000 0.500 Mo
```

Calculated values
V: 19.68 Å³/atom
formation energy from the elements: 41 meV per atom
size of the total moment: 0.0000 μB per atom
crystal system: tetragonal
N(E_F): 6.17 states/eV/f.u.



# 2
## HoUMo (PBE-GGA)

Data for a geometry-optimized HoUMo structure.

Geometry as POSCAR:
```
HoUMo
1.0
-1.720 1.720 12.146
1.720 -1.720 12.146
1.720 1.720 -12.146
Ho U Mo
2 2 2
Direct
0.074 0.074 0.000 Ho
0.926 0.926 0.000 Ho
0.339 0.339 0.000 U
0.661 0.661 0.000 U
0.210 0.210 0.000 Mo
0.790 0.790 0.000 Mo
```

Calculated values
V: 23.96 Å³/atom
formation energy from the elements: 435 meV per atom
size of the total moment: 0.0000 μB per atom
crystal system: tetragonal
N(E_F): 4.26 states/eV/f.u.



# 3
## HoVMo (PBE-GGA)

Data for a geometry-optimized HoVMo structure.

Geometry as POSCAR:
```
HoVMo
1.0
0.000 4.959 10.096
2.325 0.000 10.096
2.325 4.959 0.000
Ho V Mo
4 4 4
Direct
0.028 0.722 0.028 Ho
0.278 0.972 0.278 Ho
0.722 0.028 0.722 Ho
0.972 0.278 0.972 Ho
0.001 0.001 0.249 V
0.249 0.249 0.001 V
0.751 0.751 0.999 V
0.999 0.999 0.751 V
0.287 0.287 0.463 Mo
0.463 0.463 0.287 Mo
0.537 0.537 0.713 Mo
0.713 0.713 0.537 Mo
```

Calculated values
V: 19.40 Å³/atom
formation energy from the elements: 365 meV per atom
size of the total moment: 0.0003 μB per atom
crystal system: orthorhombic
N(E_F): 3.40 states/eV/f.u.



# 4
## HoMoW (PBE-GGA)

Data for a geometry-optimized HoMoW structure.

Geometry as POSCAR:
```
HoMoW
1.0
0.000 4.275 5.097
2.861 0.000 5.097
2.861 4.275 0.000
Ho Mo W
2 2 2
Direct
0.178 0.822 0.178 Ho
0.822 0.178 0.822 Ho
0.325 0.325 0.675 Mo
0.675 0.675 0.325 Mo
0.250 0.250 0.250 W
0.750 0.750 0.750 W
```

Calculated values
V: 20.78 Å³/atom
formation energy from the elements: 449 meV per atom
size of the total moment: 0.0000 μB per atom
crystal system: orthorhombic
N(E_F): 2.06 states/eV/f.u.